Entry from Alexandria via LeMat-Bulk: NiSbCl2 at its PBEsol-relaxed geometry (meta-GGA SCAN).

Values from the calculation:
**Raw formation energy**: -0.20 eV per atom
**Energy above the most stable polymorph in this dataset**: 28 meV/atom
**Total DFT energy (no corrections)**: -17.546 eV per atom
**Volume**: 21.0 Å³ per atom
**Fermi-level density of states**: 1.6 states/eV/f.u.

a = 3.7713 Å, b = 5.6033 Å, c = 7.9505 Å
α = 90.00°, β = 90.00°, γ = 90.00°
Space group Cmm2 (No. 35)
Asymmetric unit:
Ni1 0.0000 0.0000 0.0000 [2 per cell]
Sb1 0.0000 0.5000 0.1992 [2 per cell]
Cl1 0.0000 0.0000 0.4597 [2 per cell]
Cl2 0.0000 0.5000 0.8399 [2 per cell]